Below is a geometry-optimized LiCd2MoF8 structure, with properties calculated at the PBE with a Hubbard U level.

The final energy comes out at -55.01 eV for the cell shown. The value obtained for the size of the total moment is 3.000 μB per cell.

The structure belongs to space group P-1 (No. 2); the cell edges are 4.6926, 5.2363 and 6.9996 Å and the angles 89.15°, 89.51° and 88.29°. The inequivalent atoms are Li at (0.0000, 0.0000, 0.0000), Cd at (0.4940, 0.4970, 0.7647), Mo at (0.0000, 0.0000, 0.5000), F at (0.1986, 0.1683, 0.7339), F at (0.2039, 0.1772, 0.2671), F at (0.2721, 0.7056, 0.0004) and F at (0.2863, 0.6841, 0.4991).